RhSe2: PBEsol geometry, SCAN.

Cell lengths 5.9873, 5.9873, 5.9873 Å; angles 90.00, 90.00, 90.00 degrees
Closest atoms and distances in Å follow each position.
Fractional coordinates of all 12 atoms:
1 Rh 0.0000 0.0000 0.0000  6 Se 2.48
2 Rh 0.5000 0.0000 0.5000  6 Se 2.48
3 Rh 0.0000 0.5000 0.5000  6 Se 2.48
4 Rh 0.5000 0.5000 0.0000  6 Se 2.48
5 Se 0.3754 0.3754 0.3754  3 Rh 2.48, 1 Se 2.58
6 Se 0.1246 0.6246 0.8754  3 Rh 2.48, 1 Se 2.58
7 Se 0.6246 0.8754 0.1246  3 Rh 2.48, 1 Se 2.58
8 Se 0.8754 0.1246 0.6246  3 Rh 2.48, 1 Se 2.58
9 Se 0.6246 0.6246 0.6246  3 Rh 2.48, 1 Se 2.58
10 Se 0.8754 0.3754 0.1246  3 Rh 2.48, 1 Se 2.58
11 Se 0.3754 0.1246 0.8754  3 Rh 2.48, 1 Se 2.58
12 Se 0.1246 0.8754 0.3754  3 Rh 2.48, 1 Se 2.58

- N(E_F): 0.730 states/eV/atom
- Raw formation energy: -0.4468 eV/atom
- Total magnetic moment: 0.00 μB per cell


Rh3Se: PBEsol geometry, SCAN.

Cell lengths 4.5063, 4.5063, 4.5063 Å; angles 90.00, 90.00, 90.00 degrees
Closest atoms and distances in Å follow each position.
Fractional coordinates of all 4 atoms:
1 Rh 0.5000 0.0000 0.0000  2 Se 2.25
2 Rh 0.0000 0.5000 0.0000  2 Se 2.25
3 Rh 0.0000 0.0000 0.5000  2 Se 2.25
4 Se 0.0000 0.0000 0.0000  6 Rh 2.25

- N(E_F): 0.800 states/eV/atom
- Raw formation energy: 1.0665 eV/atom
- Total magnetic moment: 0.99 μB per cell


Rh2Se: PBEsol geometry, SCAN.

Cell lengths 5.0952, 5.0952, 5.0952 Å; angles 91.16, 119.33, 119.33 degrees
Closest atoms and distances in Å follow each position.
Fractional coordinates of all 6 atoms:
1 Rh 0.5000 0.3136 0.1864  4 Se 2.59, 5 Rh 2.66-2.71
2 Rh 0.5000 0.6864 0.8136  4 Se 2.59, 5 Rh 2.66-2.71
3 Rh 0.1273 0.8136 0.3136  4 Se 2.59, 5 Rh 2.66-2.71
4 Rh 0.8727 0.1864 0.6864  4 Se 2.59, 5 Rh 2.66-2.71
5 Se 0.0000 0.7500 0.7500  8 Rh 2.59
6 Se 0.0000 0.2500 0.2500  8 Rh 2.59

- N(E_F): 1.146 states/eV/atom
- Excess energy over the best structure of this formula in the dataset: 379 meV/atom
- Raw formation energy: 0.1264 eV/atom
- Total magnetic moment: 0.00 μB per cell


RhSe2: PBEsol geometry, SCAN.

Cell lengths 3.7285, 5.9193, 20.7317 Å; angles 90.00, 90.00, 90.00 degrees
Closest atoms and distances in Å follow each position.
Fractional coordinates of all 24 atoms:
1 Rh 0.2500 0.0848 0.5750  6 Se 2.43-2.51
2 Rh 0.2500 0.4152 0.0750  6 Se 2.43-2.51
3 Rh 0.7500 0.9152 0.4250  6 Se 2.43-2.51
4 Rh 0.7500 0.5848 0.9250  6 Se 2.43-2.51
5 Rh 0.2500 0.0738 0.8065  6 Se 2.41-2.49
6 Rh 0.2500 0.4262 0.3065  6 Se 2.41-2.49
7 Rh 0.7500 0.9262 0.1935  6 Se 2.41-2.49
8 Rh 0.7500 0.5738 0.6935  6 Se 2.41-2.49
9 Se 0.2500 0.4460 0.8607  3 Rh 2.43-2.47, 1 Se 2.53
10 Se 0.2500 0.0540 0.3607  3 Rh 2.43-2.47, 1 Se 2.53
11 Se 0.7500 0.5540 0.1393  3 Rh 2.43-2.47, 1 Se 2.53
12 Se 0.7500 0.9460 0.6393  3 Rh 2.43-2.47, 1 Se 2.53
13 Se 0.7500 0.1978 0.7382  3 Rh 2.41-2.45, 1 Se 2.53
14 Se 0.7500 0.3022 0.2382  3 Rh 2.41-2.45, 1 Se 2.53
15 Se 0.2500 0.8022 0.2618  3 Rh 2.41-2.45, 1 Se 2.53
16 Se 0.2500 0.6978 0.7618  3 Rh 2.41-2.45, 1 Se 2.53
17 Se 0.7500 0.9666 0.8801  3 Rh 2.44-2.49
18 Se 0.7500 0.5334 0.3801  3 Rh 2.44-2.49
19 Se 0.2500 0.0334 0.1199  3 Rh 2.44-2.49
20 Se 0.2500 0.4666 0.6199  3 Rh 2.44-2.49
21 Se 0.7500 0.2279 0.5050  3 Rh 2.49-2.51
22 Se 0.7500 0.2721 0.0050  3 Rh 2.49-2.51
23 Se 0.2500 0.7721 0.4950  3 Rh 2.49-2.51
24 Se 0.2500 0.7279 0.9950  3 Rh 2.49-2.51

- N(E_F): 0.223 states/eV/atom
- Raw formation energy: -0.5210 eV/atom
- Total magnetic moment: 0.00 μB per cell


RhSe2: PBEsol geometry, SCAN.

Cell lengths 3.7298, 4.9068, 6.4703 Å; angles 90.00, 106.75, 90.00 degrees
Closest atoms and distances in Å follow each position.
Fractional coordinates of all 6 atoms:
1 Rh 0.1623 0.2500 0.3245  6 Se 2.44-2.51
2 Rh 0.8377 0.7500 0.6755  6 Se 2.44-2.51
3 Se 0.5347 0.2500 0.0693  2 Rh 2.44, 2 Se 2.60
4 Se 0.4653 0.7500 0.9307  2 Rh 2.44, 2 Se 2.60
5 Se 0.7948 0.2500 0.5897  4 Rh 2.49-2.51
6 Se 0.2052 0.7500 0.4103  4 Rh 2.49-2.51

- N(E_F): 0.278 states/eV/atom
- Raw formation energy: -0.4468 eV/atom
- Total magnetic moment: 0.00 μB per cell


Rh2Se: PBEsol geometry, SCAN.

Cell lengths 3.7123, 3.9199, 7.5911 Å; angles 90.00, 104.15, 90.00 degrees
Closest atoms and distances in Å follow each position.
Fractional coordinates of all 6 atoms:
1 Rh 0.5693 0.7500 0.1386  2 Se 2.42, 6 Rh 2.66-2.70
2 Rh 0.9395 0.7500 0.8790  2 Se 2.42, 8 Rh 2.65-2.70
3 Rh 0.0605 0.2500 0.1210  2 Se 2.42, 8 Rh 2.65-2.70
4 Rh 0.4307 0.2500 0.8614  2 Se 2.42, 6 Rh 2.66-2.70
5 Se 0.3340 0.7500 0.6679  4 Rh 2.42
6 Se 0.6660 0.2500 0.3321  4 Rh 2.42

- N(E_F): 0.540 states/eV/atom
- Excess energy over the best structure of this formula in the dataset: 0 meV/atom
- Raw formation energy: -0.2527 eV/atom
- Total magnetic moment: 0.00 μB per cell


RhSe2: PBEsol geometry, SCAN.

Cell lengths 3.4150, 6.1159, 6.0040 Å; angles 96.98, 90.00, 106.21 degrees
Closest atoms and distances in Å follow each position.
Fractional coordinates of all 6 atoms:
1 Rh 0.0161 0.0323 0.0037  6 Se 2.47-2.51
2 Rh 0.4411 0.8821 0.6121  5 Se 2.40-2.47
3 Se 0.5635 0.1269 0.3079  3 Rh 2.46-2.51
4 Se 0.6322 0.2644 0.8383  3 Rh 2.47
5 Se 0.8180 0.6360 0.4335  2 Rh 2.40
6 Se 0.3625 0.7250 0.9711  3 Rh 2.45-2.47

- N(E_F): 0.426 states/eV/atom
- Raw formation energy: -0.2644 eV/atom
- Total magnetic moment: 0.00 μB per cell


SiRhSe: PBEsol geometry, SCAN.

Cell lengths 4.1870, 4.1870, 4.1870 Å; angles 60.00, 60.00, 60.00 degrees
Closest atoms and distances in Å follow each position.
Fractional coordinates of all 3 atoms:
1 Rh 0.5000 0.5000 0.5000  4 Se 2.56
2 Se 0.2500 0.2500 0.2500  4 Rh 2.56, 4 Si 2.56
3 Si 0.0000 0.0000 0.0000  4 Se 2.56

- N(E_F): 0.712 states/eV/atom
- Raw formation energy: 0.5021 eV/atom
- Total magnetic moment: 0.00 μB per cell